A geometry-optimized PmCoCuGe2 structure. Source: the Alexandria database, functional PBE.

```
PmCoCuGe2
1.0
-2.148 -3.369 -1.015
3.340 -2.327 0.654
-1.952 2.258 5.008
Pm Co Cu Ge
1 1 1 2
direct
0.000 0.000 0.000
0.250 0.750 0.500
0.750 0.250 0.500
0.628 0.628 0.256
0.372 0.372 0.744
```

## Properties
- ΔE_f: -0.52 eV per atom
- Spin magnetization: 0.685 μB per formula unit
- Space group: I-4m2
- Calculated total energy: -5.554 eV per atom